Entry 1:
LiSi2Br | PBE-GGA | relaxed

**Distance to the lowest polymorph of the same formula**: 0.1654 eV per atom
**Uncorrected formation energy**: -0.22 eV per atom

abc: 9.201 9.201 3.471
angles: 79.06 79.06 148.77
Element x y z (fractional)
Si 0.000 0.000 0.000
Si 0.500 0.500 0.000
Li 0.000 0.500 0.500
Br 0.500 0.000 0.500

Entry 2:
LiSiBr6 | PBE-GGA | relaxed

**Uncorrected formation energy**: -0.63 eV per atom

abc: 7.603 7.838 7.105
angles: 56.52 72.05 56.04
Each line ends with the local moment (μB).
Element x y z (fractional)
Br 0.333 0.319 0.000  0.21
Br 0.742 0.127 0.291  0.10
Br 0.667 0.681 0.000  0.21
Br 0.258 0.873 0.709  0.10
Br 0.742 0.417 0.709  0.10
Br 0.258 0.583 0.291  0.10
Li 0.000 0.000 0.000  0.00
Si 0.500 0.500 0.000  -0.01

Entry 3:
LiSiBr2 | PBE-GGA | relaxed

**Distance to the lowest polymorph of the same formula**: 0.1244 eV per atom
**Uncorrected formation energy**: -0.33 eV per atom

abc: 8.705 8.705 8.705
angles: 24.96 24.96 24.96
Element x y z (fractional)
Br 0.022 0.022 0.022
Br 0.213 0.213 0.213
Si 0.756 0.756 0.756
Li 0.509 0.509 0.509

Entry 4:
LiSiBr2 | PBE-GGA | relaxed

**Distance to the lowest polymorph of the same formula**: 0.1452 eV per atom
**Uncorrected formation energy**: -0.31 eV per atom

abc: 7.257 7.257 6.448
angles: 55.75 55.75 90.00
Each line ends with the local moment (μB).
Element x y z (fractional)
Li 0.500 0.500 0.000  0.01
Li 0.250 0.750 0.500  0.01
Br 0.597 0.125 0.250  0.04
Br 0.375 0.403 0.750  0.03
Br 0.153 0.625 0.250  0.03
Br 0.875 0.847 0.750  0.03
Si 0.750 0.250 0.500  0.27
Si 0.000 0.000 0.000  0.27

Entry 5:
LiSi2Br | PBE-GGA | relaxed

**Distance to the lowest polymorph of the same formula**: 0.6020 eV per atom
**Uncorrected formation energy**: 0.22 eV per atom

abc: 3.282 5.152 4.852
angles: 90.00 90.00 90.00
Element x y z (fractional)
Br 0.500 0.500 0.250
Si 0.000 0.000 0.985
Si 0.000 0.000 0.515
Li 0.500 0.500 0.750

Entry 6:
LiSiBr3 | PBE-GGA | relaxed

**Uncorrected formation energy**: -0.56 eV per atom

abc: 5.326 5.326 5.326
angles: 90.00 90.00 90.00
Element x y z (fractional)
Br 0.000 0.500 0.000
Br 0.500 0.000 0.000
Br 0.000 0.000 0.500
Si 0.000 0.000 0.000
Li 0.500 0.500 0.500

Entry 7:
Li2SiBr | PBE-GGA | relaxed

**Distance to the lowest polymorph of the same formula**: 0.2227 eV per atom
**Uncorrected formation energy**: -0.21 eV per atom

abc: 5.380 5.380 5.380
angles: 144.68 114.94 76.25
Element x y z (fractional)
Br 0.250 0.750 0.500
Li 0.010 0.010 0.000
Li 0.490 0.490 0.000
Si 0.750 0.250 0.500

Entry 8:
LiSiBr2 | PBE-GGA | relaxed

**Distance to the lowest polymorph of the same formula**: 0.1041 eV per atom
**Uncorrected formation energy**: -0.35 eV per atom

abc: 3.729 3.729 7.967
angles: 90.00 90.00 120.12
Element x y z (fractional)
Li 0.500 0.500 0.250
Br 0.000 0.000 0.024
Br 0.000 0.000 0.476
Si 0.500 0.500 0.750